This record from Alexandria via LeMat-Bulk describes a geometry-optimized HfTcSnWF structure. The functional is PBE+U.

Computed properties:
calculated density: 10.45 g/cm3
total DFT energy (no corrections): -6.933 eV per atom
crystal system: triclinic

Lattice parameters (Å, degrees): 3.2115 5.3480 5.8370 83.67 89.62 72.65
With the nearest neighbours (Å) after each atom.
Space group P1 (No. 1)
Unique sites:
Hf  0.0000  0.0000  0.0000 (multiplicity 1)  2 F 2.23-2.24
Tc  0.2880  0.4264  0.8142 (multiplicity 1)  2 W 2.63-2.64, 2 Sn 2.79, 2 Hf 2.82-2.83
Sn  0.8653  0.2822  0.4583 (multiplicity 1)  2 Tc 2.79, 1 F 2.97, 3 W 2.98-3.00
W  0.5998  0.8061  0.6386 (multiplicity 1)  1 F 2.31
F  0.5801  0.8369  0.2409 (multiplicity 1)  2 Hf 2.23-2.24, 1 W 2.31